(1)
SrIrPdS2, relaxed, DFT PBE; calculated density = 5.0 g/cm³; electronic total energy = -16.6 eV for the cell shown; raw formation energy = 1482 meV per atom; magnetic moment = 2.996 μB per formula unit; symmetry = No. 123
1.0
-1.953 4.759 1.615
-4.604 -2.096 0.610
1.234 -1.225 5.104
Sr S Ir Pd
1 2 1 1
Direct
0.000 0.000 0.000
0.000 0.000 0.500
0.500 0.000 0.000
0.500 0.500 0.500
0.000 0.500 0.000

(2)
VIrPdS4, relaxed, DFT PBE; calculated density = 6.4 g/cm³; electronic total energy = -86.4 eV for the cell shown; raw formation energy = -504 meV per atom; magnetic moment = 1.417 μB per formula unit; symmetry = No. 74
1.0
6.806 0.000 0.000
3.403 6.187 -0.022
3.403 1.864 5.900
V Ir Pd S
2 2 2 8
Direct
0.500 0.000 0.500
0.000 0.000 0.500
0.000 0.000 0.000
0.000 0.500 0.500
0.634 0.616 0.116
0.366 0.384 0.884
0.760 0.761 0.719
0.240 0.781 0.739
0.760 0.219 0.261
0.240 0.239 0.281
0.217 0.759 0.259
0.765 0.759 0.259
0.235 0.241 0.741
0.783 0.241 0.741